Record 1
! Ti3ZnBi | Alexandria via LeMat-Bulk | PBE | relaxed; values from VASP
! * energy above the most stable polymorph in this dataset: 6.24 eV/f.u.
! * ΔE_f: 115.0 kJ per mole of atoms
! * calculated total energy: -4.576 eV per atom
! * size of the total moment: 1.37 μB per formula unit
! * calculated volume: 26.96 A^3/atom
! * theoretical density: 5.148 Mg/m³
&SYSTEM
  ibrav = 0, nat = 5, ntyp = 3
/
ATOMIC_SPECIES
Zn 65.41 Zn.upf
Bi 208.98 Bi.upf
Ti 47.87 Ti.upf
ATOMIC_POSITIONS angstrom
Zn -4.0177 -1.8680 0.2981
Bi 0.0000 0.0000 0.0000
Ti -1.4855 -0.6414 -1.9888
Ti -0.5043 -2.2580 1.1048
Ti -2.0279 1.0313 1.1821
CELL_PARAMETERS angstrom
-4.0558 2.0626 2.3642
-2.9710 -1.2827 -3.9776
-1.0086 -4.5159 2.2097

Record 2
! KNbB2As | Alexandria via LeMat-Bulk | PBE | relaxed; values from VASP
! * ΔE_f: 165.1 kJ per mole of atoms
! * calculated total energy: -4.123 eV per atom
! * size of the total moment: 1.64 μB per formula unit
! * calculated volume: 19.59 A^3/atom
! * theoretical density: 3.874 Mg/m³
&SYSTEM
  ibrav = 0, nat = 5, ntyp = 4
/
ATOMIC_SPECIES
K 39.10 K.upf
Nb 92.91 Nb.upf
B 10.81 B.upf
As 74.92 As.upf
ATOMIC_POSITIONS angstrom
K 0.4904 -0.9757 3.8499
Nb 0.3713 -2.2396 0.9662
B 1.6158 0.8256 1.2927
B -1.4968 0.4382 1.5910
As 0.0000 0.0000 0.0000
CELL_PARAMETERS angstrom
-2.9935 0.8765 3.1820
0.7427 -4.4792 1.9325
3.2317 1.6512 2.5854

Record 3
! BaCeHo2 | Alexandria via LeMat-Bulk | PBE | relaxed; values from VASP
! * ΔE_f: 24.8 kJ per mole of atoms
! * calculated total energy: -3.996 eV per atom
! * size of the total moment: 0.00 μB per formula unit
! * calculated volume: 34.87 A^3/atom
! * theoretical density: 7.231 Mg/m³
&SYSTEM
  ibrav = 0, nat = 4, ntyp = 3
/
ATOMIC_SPECIES
Ho 164.93 Ho.upf
Ce 140.12 Ce.upf
Ba 137.33 Ba.upf
ATOMIC_POSITIONS angstrom
Ho 1.7854 1.0308 9.0294
Ho 5.3561 3.0924 3.6014
Ce 3.5708 2.0616 6.3154
Ba 0.0000 0.0000 0.0000
CELL_PARAMETERS angstrom
3.5708 0.0000 0.0000
1.7854 3.0924 0.0000
1.7854 1.0308 12.6307

Record 4
! Mg5Sn2Hg2Pd | Alexandria via LeMat-Bulk | PBE | relaxed; values from VASP
! * ΔE_f: -24.1 kJ per mole of atoms
! * calculated total energy: -2.427 eV per atom
! * size of the total moment: 0.00 μB per formula unit
! * calculated volume: 22.31 A^3/atom
! * theoretical density: 6.449 Mg/m³
&SYSTEM
  ibrav = 0, nat = 20, ntyp = 4
/
ATOMIC_SPECIES
Mg 24.30 Mg.upf
Sn 118.71 Sn.upf
Hg 200.59 Hg.upf
Pd 106.42 Pd.upf
ATOMIC_POSITIONS angstrom
Mg 1.5828 2.2478 0.1787
Mg 1.5828 9.6255 11.6946
Mg 1.5828 0.1787 9.6255
Mg 1.5828 8.1845 5.7580
Mg 1.5828 11.6946 2.2478
Mg 1.5828 3.6888 6.1154
Mg 1.5828 6.1154 8.1845
Mg 1.5828 5.7580 3.6888
Mg 1.5828 5.9367 0.0000
Mg 1.5828 0.0000 5.9367
Sn 0.0000 8.0147 2.0781
Sn 0.0000 3.8586 9.7952
Sn 0.0000 2.0781 3.8586
Sn 0.0000 9.7952 8.0147
Hg 0.0000 1.7272 7.6638
Hg 0.0000 10.1461 4.2095
Hg 0.0000 7.6638 10.1461
Hg 0.0000 4.2095 1.7272
Pd 0.0000 0.0000 0.0000
Pd 0.0000 5.9367 5.9367
CELL_PARAMETERS angstrom
3.1655 0.0000 0.0000
0.0000 11.8733 0.0000
0.0000 0.0000 11.8733

Record 5
! Ce4UC10 | Alexandria via LeMat-Bulk | PBE | relaxed; values from VASP
! * ΔE_f: -11.5 kJ per mole of atoms
! * calculated total energy: -8.604 eV per atom
! * size of the total moment: 2.38 μB per formula unit
! * calculated volume: 14.40 A^3/atom
! * theoretical density: 7.064 Mg/m³
&SYSTEM
  ibrav = 0, nat = 15, ntyp = 3
/
ATOMIC_SPECIES
Ce 140.12 Ce.upf
U 238.03 U.upf
C 12.01 C.upf
ATOMIC_POSITIONS angstrom
Ce 5.5064 -9.3792 -2.5077
Ce 1.7969 -3.0607 -0.8184
Ce 7.4084 -12.6190 -3.3740
Ce 3.6990 -6.3006 -1.6846
U 0.0000 0.0000 0.0000
C 1.9124 -7.0256 -3.2061
C 0.0216 -3.8273 -2.3588
C -1.8179 -0.6653 -1.5032
C 2.3911 -5.3755 0.5515
C 3.6510 -9.9870 -3.9979
C 1.4231 -5.7297 -0.2489
C -0.4676 -2.5315 0.5983
C -2.2063 0.4300 1.3901
C -0.9463 -4.1816 -3.1592
C -2.8136 -1.0297 -2.3266
CELL_PARAMETERS angstrom
3.1291 -7.8177 -5.4145
6.0762 -7.8620 1.2221
-7.7606 6.1227 1.5846

Record 6
! CuSbOs2 | Alexandria via LeMat-Bulk | PBE | relaxed; values from VASP
! * calculated total energy: -7.161 eV per atom
! * size of the total moment: 0.00 μB per formula unit
! * calculated volume: 15.76 A^3/atom
! * theoretical density: 14.906 Mg/m³
! * E_form (uncorrected): 0.508 eV/atom
&SYSTEM
  ibrav = 0, nat = 4, ntyp = 3
/
ATOMIC_SPECIES
Cu 63.55 Cu.upf
Os 190.23 Os.upf
Sb 121.76 Sb.upf
ATOMIC_POSITIONS angstrom
Cu 1.4562 1.9106 4.3596
Os 0.0000 0.0000 0.0182
Os 1.4562 1.9106 1.2519
Sb 0.0000 0.0000 2.8653
CELL_PARAMETERS angstrom
2.9124 0.0000 0.0000
0.0000 3.8213 0.0000
0.0000 0.0000 5.6633